i.
DFT (PBE-GGA) results for a relaxed structure of LiVZn2.

abc: 2.6374 2.6374 9.9852
angles: 82.41 82.41 60.00
Last column: nearest neighbours and their distance in Å.
Sites, in units of the cell vectors:
Zn1 0.0896 0.0896 0.7313  6 Zn 2.64, 1 V 2.65, 3 Li 2.74
Zn2 0.9104 0.9104 0.2687  6 Zn 2.64, 1 V 2.65, 3 Li 2.74
Li1 0.5000 0.5000 0.5000  6 Li 2.64, 6 Zn 2.74
V1 0.0000 0.0000 0.0000  6 V 2.64, 2 Zn 2.65

Properties
DOS(E_F): 2.610 states/eV/f.u.
Space group: No. 166
M_tot: 0.89 μB/cell

ii.
DFT (PBE-GGA) results for a relaxed structure of LiVZn2.

abc: 2.7916 4.5570 4.5570
angles: 90.00 90.00 90.00
Last column: nearest neighbours and their distance in Å.
Sites, in units of the cell vectors:
Zn1 0.0000 0.5000 0.0000  4 Li 2.67, 4 V 2.67, 2 Zn 2.79
Zn2 0.0000 0.0000 0.5000  4 Li 2.67, 4 V 2.67, 2 Zn 2.79
Li1 0.5000 0.0000 0.0000  8 Zn 2.67, 2 Li 2.79
V1 0.5000 0.5000 0.5000  8 Zn 2.67, 2 V 2.79

Properties
DOS(E_F): 1.825 states/eV/f.u.
Space group: No. 123
M_tot: 1.85 μB/cell

Short version: i is the least stable of them.

i.
DFT (PBE-GGA) results for a relaxed structure of LiVZn2.

abc: 6.8946 6.8946 5.5512
angles: 51.61 51.61 90.00
Last column: nearest neighbours and their distance in Å.
Sites, in units of the cell vectors:
V1 0.7500 0.2500 0.5000  4 Zn 2.61, 2 Li 2.65
V2 0.0000 0.0000 0.0000  4 Zn 2.61, 2 Li 2.65
Zn1 0.1416 0.6250 0.2500  2 Li 2.45, 2 V 2.61, 2 Zn 2.66
Zn2 0.6084 0.1250 0.2500  2 Li 2.45, 2 V 2.61, 2 Zn 2.66
Zn3 0.3750 0.3916 0.7500  2 Li 2.45, 2 V 2.61, 2 Zn 2.66
Zn4 0.8750 0.8584 0.7500  2 Li 2.45, 2 V 2.61, 2 Zn 2.66
Li1 0.5000 0.5000 0.0000  4 Zn 2.45, 2 V 2.65
Li2 0.2500 0.7500 0.5000  4 Zn 2.45, 2 V 2.65

Properties
DOS(E_F): 2.793 states/eV/f.u.
Space group: No. 122
M_tot: 5.49 μB/cell

ii.
DFT (PBE-GGA) results for a relaxed structure of LiVZn2.

abc: 2.6015 2.6015 8.2909
angles: 90.00 90.00 90.00
Last column: nearest neighbours and their distance in Å.
Sites, in units of the cell vectors:
Li1 0.5000 0.5000 0.0000  4 Li 2.60, 8 Zn 2.79
Zn1 0.0000 0.0000 0.7464  4 Zn 2.60, 4 V 2.75, 4 Li 2.79
Zn2 0.0000 0.0000 0.2536  4 Zn 2.60, 4 V 2.75, 4 Li 2.79
V1 0.5000 0.5000 0.5000  4 V 2.60, 8 Zn 2.75

Properties
DOS(E_F): 1.344 states/eV/f.u.
Space group: No. 123
M_tot: 0.00 μB/cell

iii.
DFT (PBE-GGA) results for a relaxed structure of LiVZn2.

abc: 4.3255 4.3255 4.3255
angles: 60.00 60.00 60.00
Last column: nearest neighbours and their distance in Å.
Sites, in units of the cell vectors:
Zn1 0.2500 0.2500 0.2500  4 V 2.65, 4 Li 2.65
Zn2 0.7500 0.7500 0.7500  4 V 2.65, 4 Li 2.65
V1 0.5000 0.5000 0.5000  8 Zn 2.65
Li1 0.0000 0.0000 0.0000  8 Zn 2.65

Properties
DOS(E_F): 5.528 states/eV/f.u.
Space group: No. 225
M_tot: 1.70 μB/cell

Short version: i is the least stable of them.

i.
DFT (PBE-GGA) results for a relaxed structure of LiV3Zn.

abc: 4.5586 4.5586 4.5586
angles: 90.00 90.00 90.00
Last column: nearest neighbours and their distance in Å.
Sites, in units of the cell vectors:
V1 0.0000 0.5000 0.0000  2 Zn 2.28
V2 0.5000 0.0000 0.0000  2 Zn 2.28
V3 0.0000 0.0000 0.5000  2 Zn 2.28
Zn1 0.0000 0.0000 0.0000  6 V 2.28
Li1 0.5000 0.5000 0.5000  12 V 3.22

Properties
DOS(E_F): 8.432 states/eV/f.u.
Space group: No. 221
M_tot: 2.32 μB/cell

ii.
DFT (PBE-GGA) results for a relaxed structure of LiV3Zn.

abc: 4.1282 4.1282 4.1282
angles: 90.00 90.00 90.00
Last column: nearest neighbours and their distance in Å.
Sites, in units of the cell vectors:
V1 0.0000 0.5000 0.0000  2 Li 2.06
V2 0.0000 0.0000 0.5000  2 Li 2.06
V3 0.5000 0.0000 0.0000  2 Li 2.06
Zn1 0.5000 0.5000 0.5000  12 V 2.92
Li1 0.0000 0.0000 0.0000  6 V 2.06

Properties
DOS(E_F): 6.159 states/eV/f.u.
Space group: No. 221
M_tot: 1.21 μB/cell

Short version: i is the least stable of them.

i.
DFT (PBE-GGA) results for a relaxed structure of LiZr3V.

abc: 4.7149 4.7149 4.7149
angles: 90.00 90.00 90.00
Last column: nearest neighbours and their distance in Å.
Sites, in units of the cell vectors:
Zr1 0.0000 0.5000 0.0000  2 Li 2.36
Zr2 0.5000 0.0000 0.0000  2 Li 2.36
Zr3 0.0000 0.0000 0.5000  2 Li 2.36
V1 0.5000 0.5000 0.5000  12 Zr 3.33
Li1 0.0000 0.0000 0.0000  6 Zr 2.36

Properties
DOS(E_F): 6.249 states/eV/f.u.
Space group: No. 221
M_tot: 3.15 μB/cell

ii.
DFT (PBE-GGA) results for a relaxed structure of LiZr3V.

abc: 4.9485 4.9485 4.9485
angles: 90.00 90.00 90.00
Last column: nearest neighbours and their distance in Å.
Sites, in units of the cell vectors:
Zr1 0.5000 0.0000 0.0000  2 V 2.47
Zr2 0.0000 0.5000 0.0000  2 V 2.47
Zr3 0.0000 0.0000 0.5000  2 V 2.47
V1 0.0000 0.0000 0.0000  6 Zr 2.47
Li1 0.5000 0.5000 0.5000  12 Zr 3.50

Properties
DOS(E_F): 6.436 states/eV/f.u.
Space group: No. 221
M_tot: 0.00 μB/cell

Short version: i is the least stable of them.

i.
DFT (PBE-GGA) results for a relaxed structure of Li2ZrV.

abc: 4.4911 4.4911 4.4911
angles: 60.00 60.00 60.00
Last column: nearest neighbours and their distance in Å.
Sites, in units of the cell vectors:
Li1 0.2500 0.2500 0.2500  4 Zr 2.75, 4 V 2.75
Li2 0.7500 0.7500 0.7500  4 Zr 2.75, 4 V 2.75
Zr1 0.5000 0.5000 0.5000  8 Li 2.75
V1 0.0000 0.0000 0.0000  8 Li 2.75

Properties
DOS(E_F): 3.433 states/eV/f.u.
Space group: No. 225
M_tot: 0.43 μB/cell

ii.
DFT (PBE-GGA) results for a relaxed structure of Li2ZrV.

abc: 7.3935 7.3935 5.7972
angles: 50.38 50.38 90.00
Last column: nearest neighbours and their distance in Å.
Sites, in units of the cell vectors:
Li1 0.8750 0.8522 0.7500  2 Li 2.53, 2 V 2.57, 2 Zr 2.81
Li2 0.3750 0.3978 0.7500  2 Li 2.53, 2 V 2.57, 2 Zr 2.81
Li3 0.1478 0.6250 0.2500  2 Li 2.53, 2 V 2.57, 2 Zr 2.81
Li4 0.6022 0.1250 0.2500  2 Li 2.53, 2 V 2.57, 2 Zr 2.81
Zr1 0.7500 0.2500 0.5000  2 V 2.51
Zr2 0.0000 0.0000 0.0000  2 V 2.51
V1 0.5000 0.5000 0.0000  2 Zr 2.51, 4 Li 2.57
V2 0.2500 0.7500 0.5000  2 Zr 2.51, 4 Li 2.57

Properties
DOS(E_F): 2.935 states/eV/f.u.
Space group: No. 122
M_tot: 1.95 μB/cell

Short version: ii is the least stable of them.

i.
DFT (PBE-GGA) results for a relaxed structure of LiW.

abc: 2.6962 2.6962 9.5849
angles: 90.00 90.00 110.01
Last column: nearest neighbours and their distance in Å.
Sites, in units of the cell vectors:
W1 0.5000 0.5000 0.2565  6 W 2.70-2.75, 2 Li 2.83
W2 0.0000 0.0000 0.4935  6 W 2.70-2.75, 2 Li 2.83
Li1 0.0000 0.0000 0.0097  6 Li 2.70-3.01, 2 W 2.83
Li2 0.5000 0.5000 0.7403  6 Li 2.70-3.01, 2 W 2.83

Properties
DOS(E_F): 0.927 states/eV/f.u.
Space group: No. 67
M_tot: 0.00 μB/cell

ii.
DFT (PBE-GGA) results for a relaxed structure of LiW.

abc: 6.4827 6.4827 6.4827
angles: 90.00 90.00 90.00
Last column: nearest neighbours and their distance in Å.
Sites, in units of the cell vectors:
Li1 0.2500 0.0000 0.5000  4 W 2.29
Li2 0.5000 0.7500 0.0000  4 W 2.29
Li3 0.7500 0.0000 0.5000  4 W 2.29
Li4 0.5000 0.2500 0.0000  4 W 2.29
Li5 0.0000 0.5000 0.2500  4 W 2.29
Li6 0.0000 0.5000 0.7500  4 W 2.29
W1 0.0000 0.7500 0.5000  4 Li 2.29
W2 0.7500 0.5000 0.0000  4 Li 2.29
W3 0.2500 0.5000 0.0000  4 Li 2.29
W4 0.0000 0.2500 0.5000  4 Li 2.29
W5 0.5000 0.0000 0.7500  4 Li 2.29
W6 0.5000 0.0000 0.2500  4 Li 2.29

Properties
DOS(E_F): 2.036 states/eV/f.u.
Space group: No. 223
M_tot: 1.63 μB/cell

iii.
DFT (PBE-GGA) results for a relaxed structure of LiW.

abc: 4.3306 2.9309 4.9536
angles: 90.00 90.00 90.00
Last column: nearest neighbours and their distance in Å.
Sites, in units of the cell vectors:
Li1 0.0000 0.0000 0.5000  4 Li 2.61, 4 W 2.88
Li2 0.5000 0.5000 0.5000  4 Li 2.61, 4 W 2.88
W1 0.5000 0.0000 0.0000  4 W 2.61, 4 Li 2.88
W2 0.0000 0.5000 0.0000  4 W 2.61, 4 Li 2.88

Properties
DOS(E_F): 1.280 states/eV/f.u.
Space group: No. 65
M_tot: 0.00 μB/cell

iv.
DFT (PBE-GGA) results for a relaxed structure of LiW.

abc: 4.0974 4.0974 4.6670
angles: 90.00 90.00 120.00
Last column: nearest neighbours and their distance in Å.
Sites, in units of the cell vectors:
W1 0.3333 0.6667 0.7500  5 Li 2.33-2.37
W2 0.6667 0.3333 0.2500  5 Li 2.33-2.37
Li1 0.3333 0.6667 0.2500  5 W 2.33-2.37
Li2 0.6667 0.3333 0.7500  5 W 2.33-2.37

Properties
DOS(E_F): 2.765 states/eV/f.u.
Space group: No. 194
M_tot: 0.00 μB/cell

Short version: ii is the least stable of them.